No. 1
## TlCd3In7 (PBE)

Data for a relaxed TlCd3In7 crystal.

Cell: 7.9317 7.9317 5.6800 Å, 90.00 90.00 120.00°
Closest atoms and distances in Å follow each position.
Fractional positions:
Tl  0.0000  0.0000  0.0000  3 In 3.44, 3 Cd 3.59
Cd  0.3902  0.1951  0.4207  5 In 2.96-3.19, 2 Cd 3.29
Cd  0.8049  0.1951  0.4207  5 In 2.96-3.19, 2 Cd 3.29
Cd  0.8049  0.6098  0.4207  5 In 2.96-3.19, 2 Cd 3.29
In  0.0722  0.5361  0.1062  2 Cd 3.04, 5 In 3.09-3.25
In  0.1989  0.3978  0.6323  2 Cd 2.96, 4 In 3.20-3.25
In  0.1989  0.8011  0.6323  2 Cd 2.96, 4 In 3.20-3.25
In  0.4639  0.5361  0.1062  2 Cd 3.04, 5 In 3.09-3.25
In  0.4639  0.9278  0.1062  2 Cd 3.04, 5 In 3.09-3.25
In  0.6022  0.8011  0.6323  2 Cd 2.96, 4 In 3.20-3.25
In  0.6667  0.3333  0.8709  3 In 3.09, 3 Cd 3.19

Summary:
**N(E_F)**: 4.101 states/eV/cell
**Mass density**: 7.22 g/cm³
**E_tot**: -2.135 eV per atom
**Magnetic moment**: 0.0 μB per cell

No. 2
## TbNd3Sm2Te6 (PBE)

Data for a relaxed TbNd3Sm2Te6 crystal.

Cell: 9.9710 9.9710 8.9767 Å, 103.08 103.08 25.69°
Closest atoms and distances in Å follow each position.
Fractional positions:
Tb  0.0000  0.0000  0.0000  6 Te 3.09-3.11
Nd  0.0000  0.0000  0.5000  6 Te 3.16-3.20
Nd  0.3312  0.3312  0.1671  6 Te 3.17-3.20
Nd  0.6688  0.6688  0.8329  6 Te 3.17-3.20
Sm  0.3322  0.3322  0.6655  6 Te 3.12-3.17
Sm  0.6678  0.6678  0.3345  6 Te 3.12-3.17
Te  0.1632  0.1632  0.0840  1 Tb 3.09, 2 Sm 3.14, 3 Nd 3.18
Te  0.1671  0.1671  0.5802  3 Sm 3.12-3.13, 3 Nd 3.16-3.17
Te  0.5005  0.5005  0.2430  2 Tb 3.11, 1 Sm 3.17, 3 Nd 3.20
Te  0.4995  0.4995  0.7570  2 Tb 3.11, 1 Sm 3.17, 3 Nd 3.20
Te  0.8329  0.8329  0.4198  3 Sm 3.12-3.13, 3 Nd 3.16-3.17
Te  0.8368  0.8368  0.9160  1 Tb 3.09, 2 Sm 3.14, 3 Nd 3.18

Summary:
**N(E_F)**: 6.388 states/eV/cell
**Mass density**: 7.32 g/cm³
**Formation energy without anion corrections**: -1.392 eV per atom
**E_tot**: -5.327 eV per atom
**Magnetic moment**: 0.0 μB per cell

No. 3
## ZrTe3I (PBE)

Data for a relaxed ZrTe3I crystal.

Cell: 5.6172 5.6172 5.6172 Å, 90.00 90.00 90.00°
Closest atoms and distances in Å follow each position.
Fractional positions:
Zr  0.0000  0.0000  0.0000  6 Te 2.81
Te  0.0000  0.0000  0.5000  2 Zr 2.81
Te  0.0000  0.5000  0.0000  2 Zr 2.81
Te  0.5000  0.0000  0.0000  2 Zr 2.81
I  0.5000  0.5000  0.5000  12 Te 3.97

Summary:
**N(E_F)**: 7.796 states/eV/cell
**Mass density**: 5.63 g/cm³
**Formation energy without anion corrections**: -0.121 eV per atom
**E_tot**: -4.026 eV per atom
**Magnetic moment**: 0.0 μB per cell

No. 4
## PmMgCd5Ag2 (PBE)

Data for a relaxed PmMgCd5Ag2 crystal.

Cell: 5.1573 5.1573 8.1732 Å, 90.00 90.00 90.00°
Closest atoms and distances in Å follow each position.
Fractional positions:
Pm  0.0000  0.0000  0.0000  12 Cd 3.26-3.65
Mg  0.0000  0.0000  0.5000  8 Cd 3.32
Cd  0.0000  0.5000  0.2433  2 Ag 2.70
Cd  0.0000  0.5000  0.7567  2 Ag 2.70
Cd  0.5000  0.0000  0.2433  2 Ag 2.70
Cd  0.5000  0.0000  0.7567  2 Ag 2.70
Cd  0.5000  0.5000  0.0000  2 Ag 2.79
Ag  0.5000  0.5000  0.3413  1 Ag 2.59, 5 Cd 2.70-2.79
Ag  0.5000  0.5000  0.6587  1 Ag 2.59, 5 Cd 2.70-2.79

Summary:
**N(E_F)**: 3.235 states/eV/cell
**Mass density**: 7.23 g/cm³
**E_tot**: -1.843 eV per atom
**Magnetic moment**: 0.0 μB per cell

No. 5
## ZrTaW (PBE)

Data for a relaxed ZrTaW crystal.

Cell: 5.4874 5.4874 5.4874 Å, 121.27 118.54 90.18°
Closest atoms and distances in Å follow each position.
Fractional positions:
Zr  0.3735  0.1235  0.2500  6 Ta 3.18-3.24, 6 W 3.19-3.26, 4 Zr 3.33-3.40
Zr  0.6265  0.8765  0.7500  6 Ta 3.18-3.24, 6 W 3.19-3.26, 4 Zr 3.33-3.40
Ta  0.0000  0.5000  0.5000  4 W 2.74, 2 Ta 2.80
Ta  0.5000  0.5000  0.0000  4 W 2.74, 2 Ta 2.80
W  0.0000  0.0000  0.5000  2 W 2.69, 4 Ta 2.74
W  0.0000  0.5000  0.0000  2 W 2.69, 4 Ta 2.74

Summary:
**N(E_F)**: 7.550 states/eV/cell
**Mass density**: 12.95 g/cm³
**E_tot**: -11.193 eV per atom
**Magnetic moment**: 0.0 μB per cell

No. 6
## V2ZnRu3 (PBE)

Data for a relaxed V2ZnRu3 crystal.

Cell: 3.0159 3.0159 9.0495 Å, 90.00 90.00 90.00°
Closest atoms and distances in Å follow each position.
Fractional positions:
V  0.0000  0.0000  0.1735  8 Ru 2.52-2.65
V  0.0000  0.0000  0.8265  8 Ru 2.52-2.65
Zn  0.0000  0.0000  0.5000  8 Ru 2.68, 2 V 2.95
Ru  0.5000  0.5000  0.0000  8 V 2.65, 2 Ru 2.91
Ru  0.5000  0.5000  0.3213  4 V 2.52, 4 Zn 2.68
Ru  0.5000  0.5000  0.6787  4 V 2.52, 4 Zn 2.68

Summary:
**N(E_F)**: 2.437 states/eV/cell
**Mass density**: 9.49 g/cm³
**E_tot**: -8.196 eV per atom
**Magnetic moment**: 0.0 μB per cell

No. 7
## Sc3Ga2Ag (PBE)

Data for a relaxed Sc3Ga2Ag crystal.

Cell: 3.2718 3.2718 10.8576 Å, 90.00 90.00 90.00°
Closest atoms and distances in Å follow each position.
Fractional positions:
Sc  0.0000  0.0000  0.0000  8 Ga 2.94, 4 Sc 3.27
Sc  0.0000  0.0000  0.3281  4 Ga 2.90, 4 Ag 2.97
Sc  0.0000  0.0000  0.6719  4 Ga 2.90, 4 Ag 2.97
Ga  0.5000  0.5000  0.1675  8 Sc 2.90-2.94
Ga  0.5000  0.5000  0.8325  8 Sc 2.90-2.94
Ag  0.5000  0.5000  0.5000  8 Sc 2.97, 4 Ag 3.27

Summary:
**N(E_F)**: 3.896 states/eV/cell
**Mass density**: 5.46 g/cm³
**E_tot**: -5.144 eV per atom
**Magnetic moment**: 0.0 μB per cell

No. 8
## Cd3HgPt12 (PBE)

Data for a relaxed Cd3HgPt12 crystal.

Cell: 4.0533 4.0533 16.1217 Å, 90.00 90.00 90.00°
Closest atoms and distances in Å follow each position.
Fractional positions:
Cd  0.0000  0.0000  0.0000  12 Pt 2.85-2.87
Cd  0.0000  0.0000  0.2492  12 Pt 2.85-2.87
Cd  0.0000  0.0000  0.7508  12 Pt 2.85-2.87
Hg  0.0000  0.0000  0.5000  12 Pt 2.87-2.88
Pt  0.0000  0.5000  0.1245  8 Pt 2.85-2.87, 4 Cd 2.85
Pt  0.0000  0.5000  0.3733  2 Cd 2.85, 8 Pt 2.85-2.88, 2 Hg 2.88
Pt  0.0000  0.5000  0.6267  2 Cd 2.85, 8 Pt 2.85-2.88, 2 Hg 2.88
Pt  0.0000  0.5000  0.8755  8 Pt 2.85-2.87, 4 Cd 2.85
Pt  0.5000  0.0000  0.1245  8 Pt 2.85-2.87, 4 Cd 2.85
Pt  0.5000  0.0000  0.3733  2 Cd 2.85, 8 Pt 2.85-2.88, 2 Hg 2.88
Pt  0.5000  0.0000  0.6267  2 Cd 2.85, 8 Pt 2.85-2.88, 2 Hg 2.88
Pt  0.5000  0.0000  0.8755  8 Pt 2.85-2.87, 4 Cd 2.85
Pt  0.5000  0.5000  0.0000  8 Pt 2.85, 4 Cd 2.87
Pt  0.5000  0.5000  0.2488  8 Pt 2.85, 4 Cd 2.87
Pt  0.5000  0.5000  0.5000  4 Hg 2.87, 8 Pt 2.88
Pt  0.5000  0.5000  0.7512  8 Pt 2.85, 4 Cd 2.87

Summary:
**N(E_F)**: 15.865 states/eV/cell
**Mass density**: 18.05 g/cm³
**E_tot**: -4.852 eV per atom
**Magnetic moment**: 0.0 μB per cell